Here is crystalline Fe2Br2O at its relaxed geometry from Alexandria via LeMat-Bulk. Energies are from PBE+U.

```
data_Fe2Br2O
_cell_length_a 7.578
_cell_length_b 7.578
_cell_length_c 3.440
_cell_angle_alpha 90.00
_cell_angle_beta 90.00
_cell_angle_gamma 90.00
_symmetry_space_group_name_H-M 'P 4/m b m'
_symmetry_Int_Tables_number 127
_symmetry_space_group_name_Hall '-P 4 2ab'
loop_
_atom_site_label
_atom_site_fract_x
_atom_site_fract_y
_atom_site_fract_z
Fe1 0.162 0.338 0.000
Br1 0.146 0.646 0.500
O1 0.000 0.000 0.500
```

Results
crystal system	tetragonal
E	-0.2446	Ry per atom